MgCdSeS: relaxed, PBE.

The structure in POSCAR format:
```
MgCdSeS
1.0
4.203 0.000 0.000
-2.102 3.640 0.000
0.000 0.000 6.853
Mg Cd Se S
1 1 1 1
direct
0.000 0.000 0.000 Mg
0.667 0.333 0.529 Cd
0.000 0.000 0.379 Se
0.667 0.333 0.905 S
```

Properties
The space group is P3m1. The total energy is -14.005 eV per formula unit.